1.
Below is a geometry-optimized Sb2HRuI structure, with properties calculated at the PBEsol level.

## Properties
Crystal system ... tetragonal
Offset from the most stable computed form ... 0.25 eV/f.u.

a b c (Å): 4.274 4.274 5.146
angles (deg): 90.00 90.00 90.00
Space group P4/mmm (No. 123)
Unique sites:
Sb: 0.000 0.500 0.000
H: 0.000 0.000 0.000
Ru: 0.500 0.500 0.500
I: 0.000 0.000 0.500

=====

2.
Below is a geometry-optimized Re2Ru structure, with properties calculated at the PBEsol level.

## Properties
Crystal system ... monoclinic
Offset from the most stable computed form ... 0.00 eV/f.u.
ΔE_f ... -6.3 kJ/mol of atoms

a b c (Å): 9.937 2.733 6.439
angles (deg): 90.00 104.08 90.00
Space group Cm (No. 8)
Unique sites:
Re: 0.000 0.000 0.000
Re: 0.057 0.000 0.612
Re: 0.170 0.500 0.329
Re: 0.333 0.000 0.666
Ru: 0.224 0.500 0.942
Ru: 0.389 0.000 0.277

=====

3.
Below is a geometry-optimized ZrBi2C structure, with properties calculated at the PBEsol level.

## Properties
Crystal system ... tetragonal
ΔE_f ... 92.5 kJ/mol of atoms

a b c (Å): 7.215 7.215 6.671
angles (deg): 90.00 90.00 90.00
Space group I-42d (No. 122)
Unique sites:
Zr: 0.000 0.000 0.000
Bi: 0.176 0.750 0.625
C: 0.000 0.000 0.500

=====

4.
Below is a geometry-optimized Ba2Cd structure, with properties calculated at the PBEsol level.

## Properties
Crystal system ... tetragonal
ΔE_f ... -21.3 kJ/mol of atoms

a b c (Å): 4.206 4.206 14.842
angles (deg): 90.00 90.00 90.00
Space group I4/mmm (No. 139)
Unique sites:
Ba: 0.000 0.000 0.132
Cd: 0.000 0.000 0.500

=====

5.
Below is a geometry-optimized CaFeBr2 structure, with properties calculated at the PBEsol level.

## Properties
Crystal system ... tetragonal
Offset from the most stable computed form ... 0.00 eV/f.u.
Formation energy (no corrections) ... -0.505 eV per atom

a b c (Å): 3.469 3.469 7.816
angles (deg): 90.00 90.00 90.00
Space group P4mm (No. 99)
Unique sites:
Ca: 0.000 0.000 0.000
Fe: 0.500 0.500 0.279
Br: 0.000 0.000 0.406
Br: 0.500 0.500 0.793

=====

6.
Below is a geometry-optimized CeTlAg2 structure, with properties calculated at the PBEsol level.

## Properties
Crystal system ... cubic
ΔE_f ... -14.0 kJ/mol of atoms

a b c (Å): 7.023 7.023 7.023
angles (deg): 90.00 90.00 90.00
Space group Fm-3m (No. 225)
Unique sites:
Ce: 0.000 0.000 0.000
Tl: 0.000 0.000 0.500
Ag: 0.250 0.250 0.250

=====

7.
Below is a geometry-optimized RbHg2Os structure, with properties calculated at the PBEsol level.

## Properties
Crystal system ... cubic
ΔE_f ... 108.7 kJ/mol of atoms

a b c (Å): 7.107 7.107 7.107
angles (deg): 90.00 90.00 90.00
Space group Fm-3m (No. 225)
Unique sites:
Rb: 0.000 0.000 0.000
Hg: 0.250 0.250 0.250
Os: 0.000 0.000 0.500

=====

8.
Below is a geometry-optimized AlReSe2 structure, with properties calculated at the PBEsol level.

## Properties
Crystal system ... orthorhombic
Formation energy (no corrections) ... 0.230 eV per atom

a b c (Å): 3.083 5.039 9.248
angles (deg): 90.00 90.00 90.00
Space group Cmm2 (No. 35)
Unique sites:
Al: 0.000 0.000 0.000
Re: 0.000 0.500 0.777
Se: 0.000 0.000 0.566
Se: 0.000 0.500 0.217

=====

9.
Below is a geometry-optimized Y2RuPb structure, with properties calculated at the PBEsol level.

## Properties
Crystal system ... cubic
ΔE_f ... -17.5 kJ/mol of atoms

a b c (Å): 6.960 6.960 6.960
angles (deg): 90.00 90.00 90.00
Space group F-43m (No. 216)
Unique sites:
Y: 0.000 0.000 0.000
Y: 0.250 0.250 0.250
Ru: 0.250 0.250 0.750
Pb: 0.000 0.000 0.500

=====

10.
Below is a geometry-optimized K6InP3 structure, with properties calculated at the PBEsol level.

## Properties
Crystal system ... triclinic
ΔE_f ... -31.9 kJ/mol of atoms

a b c (Å): 8.832 8.853 9.789
angles (deg): 81.73 72.86 60.39
Space group P1 (No. 1)
Unique sites:
K: 0.000 0.000 0.000
K: 0.010 0.351 0.720
K: 0.156 0.641 0.521
K: 0.324 0.581 0.167
K: 0.382 0.755 0.716
K: 0.488 0.078 0.498
K: 0.511 0.112 0.126
K: 0.623 0.719 0.979
K: 0.724 0.387 0.488
K: 0.778 0.005 0.721
K: 0.870 0.700 0.265
K: 0.990 0.332 0.108
In: 0.175 0.029 0.362
In: 0.341 0.377 0.857
P: 0.043 0.653 0.883
P: 0.144 0.330 0.371
P: 0.351 0.086 0.854
P: 0.472 0.759 0.351
P: 0.622 0.378 0.869
P: 0.908 0.004 0.352

=====

11.
Below is a geometry-optimized GaHgS3 structure, with properties calculated at the PBEsol level.

## Properties
Crystal system ... cubic
Formation energy (no corrections) ... 0.665 eV per atom

a b c (Å): 4.956 4.956 4.956
angles (deg): 90.00 90.00 90.00
Space group Pm-3m (No. 221)
Unique sites:
Ga: 0.000 0.000 0.000
Hg: 0.500 0.500 0.500
S: 0.000 0.500 0.500

=====

12.
Below is a geometry-optimized HgBSbTe2 structure, with properties calculated at the PBEsol level.

## Properties
Crystal system ... tetragonal
Formation energy (no corrections) ... 1.611 eV per atom

a b c (Å): 5.557 5.557 5.389
angles (deg): 90.00 90.00 90.00
Space group P4/mmm (No. 123)
Unique sites:
Hg: 0.000 0.000 0.000
B: 0.500 0.500 0.500
Sb: 0.000 0.000 0.500
Te: 0.000 0.500 0.000

=====

13.
Below is a geometry-optimized RbTbW2O8 structure, with properties calculated at the PBEsol level.

## Properties
Crystal system ... monoclinic
Formation energy (no corrections) ... -2.555 eV per atom

a b c (Å): 10.664 10.492 7.487
angles (deg): 90.00 130.43 90.00
Space group C2/c (No. 15)
Unique sites:
Rb: 0.000 0.201 0.250
Tb: 0.000 0.228 0.750
W: 0.196 0.497 0.730
O: 0.022 0.391 0.971
O: 0.128 0.082 0.691
O: 0.190 0.431 0.444
O: 0.223 0.159 0.127

=====

14.
Below is a geometry-optimized Li5H9Pt2 structure, with properties calculated at the PBEsol level.

## Properties
Crystal system ... tetragonal

a b c (Å): 8.247 8.247 8.370
angles (deg): 90.00 90.00 90.00
Space group I4/mcm (No. 140)
Unique sites:
Li: 0.000 0.000 0.000
Li: 0.148 0.352 0.159
H: 0.000 0.500 0.000
H: 0.074 0.226 0.363
Pt: 0.157 0.343 0.500

=====

15.
Below is a geometry-optimized Hf3N2O3 structure, with properties calculated at the PBEsol level.

## Properties
Crystal system ... orthorhombic
Offset from the most stable computed form ... 0.57 eV/f.u.
Formation energy (no corrections) ... -2.760 eV per atom

a b c (Å): 3.923 10.556 10.615
angles (deg): 90.00 90.00 90.00
Space group Cmc2_1 (No. 36)
Unique sites:
Hf: 0.000 0.136 0.000
Hf: 0.000 0.137 0.386
Hf: 0.000 0.186 0.695
N: 0.000 0.047 0.831
N: 0.000 0.294 0.521
O: 0.000 0.044 0.563
O: 0.000 0.245 0.206
O: 0.000 0.309 0.865

=====

16.
Below is a geometry-optimized KCr3Mo structure, with properties calculated at the PBEsol level.

## Properties
Crystal system ... cubic
ΔE_f ... 268.7 kJ/mol of atoms

a b c (Å): 4.108 4.108 4.108
angles (deg): 90.00 90.00 90.00
Space group Pm-3m (No. 221)
Unique sites:
K: 0.000 0.000 0.000
Cr: 0.000 0.000 0.500
Mo: 0.500 0.500 0.500

=====

17.
Below is a geometry-optimized K2CrFe structure, with properties calculated at the PBEsol level.

## Properties
Crystal system ... monoclinic
Offset from the most stable computed form ... 2.57 eV/f.u.
ΔE_f ... 147.3 kJ/mol of atoms

a b c (Å): 6.417 10.987 3.056
angles (deg): 90.00 90.29 90.00
Space group C2/m (No. 12)
Unique sites:
K: 0.250 0.250 0.000
Cr: 0.000 0.000 0.500
Fe: 0.000 0.500 0.500

=====

18.
Below is a geometry-optimized BeZnMo structure, with properties calculated at the PBEsol level.

## Properties
Crystal system ... tetragonal
ΔE_f ... 12.5 kJ/mol of atoms

a b c (Å): 2.624 2.624 10.782
angles (deg): 90.00 90.00 90.00
Space group I4mm (No. 107)
Unique sites:
Be: 0.000 0.000 0.000
Zn: 0.000 0.000 0.354
Mo: 0.000 0.000 0.662

=====

19.
Below is a geometry-optimized Sc2Be structure, with properties calculated at the PBEsol level.

## Properties
Crystal system ... tetragonal
Offset from the most stable computed form ... 0.05 eV/f.u.
ΔE_f ... -1.4 kJ/mol of atoms

a b c (Å): 3.157 3.157 11.051
angles (deg): 90.00 90.00 90.00
Space group I4/mmm (No. 139)
Unique sites:
Sc: 0.000 0.000 0.137
Be: 0.000 0.000 0.500

=====

20.
Below is a geometry-optimized LaTaIn2 structure, with properties calculated at the PBEsol level.

## Properties
Crystal system ... tetragonal
ΔE_f ... 14.5 kJ/mol of atoms

a b c (Å): 4.481 4.481 4.666
angles (deg): 90.00 90.00 90.00
Space group P4/mmm (No. 123)
Unique sites:
La: 0.000 0.000 0.000
Ta: 0.500 0.500 0.000
In: 0.000 0.500 0.500

=====

Number 1: VASP energy -4.00 eV per atom, total magnetic moment 0.000 μB/atom. Number 2: VASP energy -12.34 eV per atom, total magnetic moment 0.000 μB/atom. Number 3: VASP energy -5.87 eV per atom, total magnetic moment 0.000 μB/atom. Number 4: VASP energy -2.05 eV per atom, total magnetic moment 0.000 μB/atom. Number 5: VASP energy -4.21 eV per atom, total magnetic moment 0.729 μB/atom. Number 6: VASP energy -4.11 eV per atom, total magnetic moment 0.181 μB/atom. Number 7: VASP energy -2.47 eV per atom, total magnetic moment 0.149 μB/atom. Number 8: VASP energy -6.05 eV per atom, total magnetic moment 0.000 μB/atom. Number 9: VASP energy -7.14 eV per atom, total magnetic moment 0.000 μB/atom. Number 10: VASP energy -3.05 eV per atom, total magnetic moment 0.000 μB/atom. Number 11: VASP energy -2.75 eV per atom, total magnetic moment 0.000 μB/atom. Number 12: VASP energy -2.23 eV per atom, total magnetic moment 0.000 μB/atom. Number 13: VASP energy -8.86 eV per atom, total magnetic moment 0.000 μB/atom. Number 14: VASP energy -3.79 eV per atom, total magnetic moment 0.000 μB/atom. Number 15: VASP energy -10.80 eV per atom, total magnetic moment 0.000 μB/atom. Number 16: VASP energy -5.94 eV per atom, total magnetic moment 0.000 μB/atom. Number 17: VASP energy -3.84 eV per atom, total magnetic moment 1.921 μB/atom. Number 18: VASP energy -5.65 eV per atom, total magnetic moment 0.000 μB/atom. Number 19: VASP energy -5.75 eV per atom, total magnetic moment 0.000 μB/atom. Number 20: VASP energy -5.82 eV per atom, total magnetic moment 0.000 μB/atom.